1.
A plane-wave DFT calculation with PBE-GGA was carried out for crystalline HfBCl2 at its relaxed geometry.

E above lowest polymorph: 0.0 meV/atom
Raw formation energy: -5.4 kJ/mol of atoms
Volume: 25.67 Å³ per atom
Electronic total energy: -41.10 eV per cell

Cell: 7.0814 7.0814 7.0814 Å, 95.98 95.98 142.33°
Last column: nearest neighbours and their distance in Å.
Positions (direct):
Hf1 0.0000 0.0000 0.0000  2 B 2.29, 4 Cl 2.55
Hf2 0.7500 0.2500 0.5000  2 B 2.29, 4 Cl 2.55
B1 0.2500 0.7500 0.5000  2 Hf 2.29
B2 0.5000 0.5000 0.0000  2 Hf 2.29
Cl1 0.3750 0.2038 0.3288  2 Hf 2.55
Cl2 0.7962 0.1250 0.1712  2 Hf 2.55
Cl3 0.8750 0.0462 0.6712  2 Hf 2.55
Cl4 0.9538 0.6250 0.8288  2 Hf 2.55



2.
A plane-wave DFT calculation with PBE-GGA was carried out for crystalline HfBCl2 at its relaxed geometry.

E above lowest polymorph: 234.1 meV/atom
Raw formation energy: 17.2 kJ/mol of atoms
Volume: 20.14 Å³ per atom
Electronic total energy: -19.61 eV per cell

Cell: 9.3489 9.3489 9.3489 Å, 19.62 19.62 19.62°
Last column: nearest neighbours and their distance in Å.
Positions (direct):
Hf1 0.0000 0.0000 0.0000  6 Cl 2.60
B1 0.5000 0.5000 0.5000  2 Cl 2.74
Cl1 0.4003 0.4003 0.4003  3 Hf 2.60, 1 B 2.74
Cl2 0.5997 0.5997 0.5997  3 Hf 2.60, 1 B 2.74



3.
A plane-wave DFT calculation with PBE-GGA was carried out for crystalline HfB3Cl at its relaxed geometry.

E above lowest polymorph: 258.1 meV/atom
Raw formation energy: 192.2 kJ/mol of atoms
Volume: 20.64 Å³ per atom
Electronic total energy: -21.87 eV per cell

Cell: 4.6905 4.6905 4.6905 Å, 90.00 90.00 90.00°
Last column: nearest neighbours and their distance in Å.
Positions (direct):
Hf1 0.0000 0.0000 0.0000  6 B 2.35
B1 0.0000 0.0000 0.5000  2 Hf 2.35
B2 0.0000 0.5000 0.0000  2 Hf 2.35
B3 0.5000 0.0000 0.0000  2 Hf 2.35
Cl1 0.5000 0.5000 0.5000  12 B 3.32